ScGePb2S5 | PBE | relaxed

a = 4.101 Å, b = 8.851 Å, c = 12.223 Å
α = 90.00°, β = 90.00°, γ = 103.39°
Fractional coordinates of all 18 atoms:
Ge (0.444, 0.887, 0.440)
S (0.493, 0.986, 0.777)
Sc (0.796, 0.592, 0.526)
S (0.350, 0.700, 0.012)
S (0.047, 0.095, 0.029)
Pb (0.133, 0.266, 0.673)
Ge (0.556, 0.113, 0.940)
S (0.296, 0.592, 0.663)
S (0.953, 0.905, 0.529)
Sc (0.204, 0.408, 0.026)
Pb (0.867, 0.734, 0.173)
S (0.314, 0.627, 0.382)
S (0.686, 0.373, 0.882)
S (0.507, 0.014, 0.277)
S (0.650, 0.300, 0.512)
Pb (0.878, 0.755, 0.822)
S (0.704, 0.408, 0.163)
Pb (0.122, 0.245, 0.322)

Output
- Formation energy from raw total energies: -801.3 meV per atom
- Electronic total energy: -92.4 eV/cell
- N(E_F): 0.15 states/eV per atom
- Crystal system: orthorhombic